# Nd8GePt3I4 | Alexandria | PBE | relaxed
# Volume ... 32.2 Å³ per atom
# Calculated total energy ... -5.246 eV per atom
data_Nd8GePt3I4
_cell_length_a 8.6399
_cell_length_b 8.6399
_cell_length_c 23.9124
_cell_angle_alpha 90.00
_cell_angle_beta 90.00
_cell_angle_gamma 120.00
_symmetry_space_group_name_H-M 'R -3 m'
_symmetry_Int_Tables_number 166
_symmetry_space_group_name_Hall '-R 3 2"'
loop_
_atom_site_label
_atom_site_fract_x
_atom_site_fract_y
_atom_site_fract_z
Nd1 0.0000 0.0000 0.2291
Nd2 0.0075 0.5037 0.7698
Ge1 0.0000 0.0000 0.5000
Pt1 0.0000 0.5000 0.5000
I1 0.0000 0.0000 0.0000
I2 0.0000 0.5000 0.0000



# Nd6GePt2I3 | Alexandria | PBE | relaxed
# Volume ... 32.1 Å³ per atom
# Calculated total energy ... -5.201 eV per atom
data_Nd6GePt2I3
_cell_length_a 7.501
_cell_length_b 13.015
_cell_length_c 8.286
_cell_angle_alpha 90.00
_cell_angle_beta 107.61
_cell_angle_gamma 90.00
_symmetry_space_group_name_H-M 'C 1 2/m 1'
_symmetry_Int_Tables_number 12
loop_
_symmetry_equiv_pos_as_xyz
'x,y,z'
'-x,-y,-z'
'-x,y,-z'
'x,-y,z'
'x+1/2,y+1/2,z'
'-x+1/2,-y+1/2,-z'
'-x+1/2,y+1/2,-z'
'x+1/2,-y+1/2,z'
loop_
_atom_site_label
_atom_site_fract_x
_atom_site_fract_y
_atom_site_fract_z
Nd1 0.222 0.000 0.192
Nd2 0.237 0.329 0.192
Ge1 0.000 0.500 0.000
Pt1 0.000 0.167 0.000
I1 0.000 0.000 0.500
I2 0.000 0.338 0.500